No. 1
An optimized crystal structure of AsPWBr2, computed with PBE.

The value obtained for the raw formation energy is 0.92 eV/atom. Its total moment is 0.642 μB per atom. As for the volume: 26.24 A^3/atom. The distance to the lowest polymorph of the same formula comes out at 0.000 eV per atom.

It has space group P4/mmm (No. 123), with a = 5.139 Å, b = 5.139 Å, c = 4.968 Å, α = 90.00°, β = 90.00° and γ = 90.00°. The inequivalent atoms are As at (0.000, 0.000, 0.000), P at (0.500, 0.500, 0.000), W at (0.000, 0.000, 0.500) and Br at (0.000, 0.500, 0.500).



No. 2
An optimized crystal structure of YAs2PBr, computed with PBE.

The value obtained for the raw formation energy is 0.49 eV/atom. Its total moment is 0.026 μB per atom. As for the volume: 32.53 A^3/atom. The distance to the lowest polymorph of the same formula comes out at 0.551 eV per atom.

It has space group P4/mmm (No. 123), with a = 5.568 Å, b = 5.568 Å, c = 5.246 Å, α = 90.00°, β = 90.00° and γ = 90.00°. The inequivalent atoms are Y at (0.000, 0.000, 0.000), As at (0.000, 0.500, 0.000), P at (0.500, 0.500, 0.500) and Br at (0.000, 0.000, 0.500).



No. 3
An optimized crystal structure of YAs2PBr, computed with PBE.

The value obtained for the raw formation energy is -0.06 eV/atom. Its total moment is 0.000 μB per atom. As for the volume: 23.20 A^3/atom. The distance to the lowest polymorph of the same formula comes out at 0.000 eV per atom.

It has space group P4/mmm (No. 123), with a = 4.833 Å, b = 4.833 Å, c = 4.967 Å, α = 90.00°, β = 90.00° and γ = 90.00°. The inequivalent atoms are Y at (0.000, 0.000, 0.000), As at (0.000, 0.500, 0.500), P at (0.500, 0.500, 0.500) and Br at (0.500, 0.500, 0.000).



No. 4
An optimized crystal structure of ZnAsPBr2, computed with PBE.

The value obtained for the raw formation energy is 0.42 eV/atom. Its total moment is 0.000 μB per atom. As for the volume: 25.74 A^3/atom. The distance to the lowest polymorph of the same formula comes out at 0.000 eV per atom.

It has space group P4/mmm (No. 123), with a = 5.083 Å, b = 5.083 Å, c = 4.983 Å, α = 90.00°, β = 90.00° and γ = 90.00°. The inequivalent atoms are Zn at (0.000, 0.000, 0.000), As at (0.500, 0.500, 0.000), P at (0.500, 0.500, 0.500) and Br at (0.000, 0.500, 0.500).



No. 5
An optimized crystal structure of ZnAsPBr2, computed with PBE.

The value obtained for the raw formation energy is 0.66 eV/atom. Its total moment is 0.165 μB per atom. As for the volume: 25.98 A^3/atom. The distance to the lowest polymorph of the same formula comes out at 0.241 eV per atom.

It has space group P4/mmm (No. 123), with a = 4.956 Å, b = 4.956 Å, c = 5.288 Å, α = 90.00°, β = 90.00° and γ = 90.00°. The inequivalent atoms are Zn at (0.000, 0.000, 0.000), As at (0.000, 0.000, 0.500), P at (0.500, 0.500, 0.500) and Br at (0.000, 0.500, 0.000).



No. 6
An optimized crystal structure of ZrAs2PBr, computed with PBE.

The value obtained for the raw formation energy is 0.48 eV/atom. Its total moment is 0.168 μB per atom. As for the volume: 29.02 A^3/atom. The distance to the lowest polymorph of the same formula comes out at 0.023 eV per atom.

It has space group P4/mmm (No. 123), with a = 5.296 Å, b = 5.296 Å, c = 5.173 Å, α = 90.00°, β = 90.00° and γ = 90.00°. The inequivalent atoms are Zr at (0.000, 0.000, 0.000), As at (0.000, 0.500, 0.000), P at (0.500, 0.500, 0.500) and Br at (0.000, 0.000, 0.500).



No. 7
An optimized crystal structure of ZrAs2PBr, computed with PBE.

The value obtained for the raw formation energy is 0.45 eV/atom. Its total moment is 0.095 μB per atom. As for the volume: 21.92 A^3/atom. The distance to the lowest polymorph of the same formula comes out at 0.000 eV per atom.

It has space group P4/mmm (No. 123), with a = 4.783 Å, b = 4.783 Å, c = 4.792 Å, α = 90.00°, β = 90.00° and γ = 90.00°. The inequivalent atoms are Zr at (0.000, 0.000, 0.000), As at (0.000, 0.500, 0.500), P at (0.500, 0.500, 0.500) and Br at (0.500, 0.500, 0.000).



No. 8
An optimized crystal structure of Pa2AsBr, computed with PBE.

The value obtained for the raw formation energy is -0.12 eV/atom. Its total moment is 0.948 μB per atom. As for the volume: 31.97 A^3/atom.

It has space group R-3m (No. 166, hexagonal axes), with a = 5.1459 Å, b = 5.1459 Å, c = 16.7284 Å, α = 90.00°, β = 90.00° and γ = 120.00°. The inequivalent atoms are Pa at (0.0000, 0.0000, 0.1723), As at (0.0000, 0.0000, 0.5000) and Br at (0.0000, 0.0000, 0.0000).



No. 9
An optimized crystal structure of PaAsBr, computed with PBE.

The value obtained for the raw formation energy is -0.78 eV/atom. Its total moment is 0.337 μB per atom. As for the volume: 34.47 A^3/atom. The distance to the lowest polymorph of the same formula comes out at 0.284 eV per atom.

It has space group Cm (No. 8), with a = 7.222 Å, b = 4.172 Å, c = 7.231 Å, α = 90.00°, β = 108.36° and γ = 90.00°. The inequivalent atoms are Pa at (0.000, 0.000, 0.000), As at (0.270, 0.000, 0.799) and Br at (0.252, 0.500, 0.272).



No. 10
An optimized crystal structure of PaAsBr, computed with PBE.

The value obtained for the raw formation energy is -1.07 eV/atom. Its total moment is 0.201 μB per atom. As for the volume: 34.27 A^3/atom. The distance to the lowest polymorph of the same formula comes out at 0.000 eV per atom.

It has space group P2_1/m (No. 11), with a = 4.073 Å, b = 4.077 Å, c = 12.529 Å, α = 90.00°, β = 98.76° and γ = 90.00°. The inequivalent atoms are Pa at (0.189, 0.250, 0.369), As at (0.302, 0.250, 0.610) and Br at (0.088, 0.250, 0.155).



No. 11
An optimized crystal structure of Pa2AsBr2, computed with PBE.

The value obtained for the raw formation energy is -1.09 eV/atom. Its total moment is 0.262 μB per atom. As for the volume: 30.76 A^3/atom.

It has space group R-3m (No. 166, hexagonal axes), with a = 4.0840 Å, b = 4.0840 Å, c = 31.9460 Å, α = 90.00°, β = 90.00° and γ = 120.00°. The inequivalent atoms are Pa at (0.0000, 0.0000, 0.1187), As at (0.0000, 0.0000, 0.5000) and Br at (0.0000, 0.0000, 0.2737).



No. 12
An optimized crystal structure of PaAsBr, computed with PBE.

The value obtained for the raw formation energy is -0.52 eV/atom. Its total moment is 0.375 μB per atom. As for the volume: 24.26 A^3/atom. The distance to the lowest polymorph of the same formula comes out at 0.544 eV per atom.

It has space group P-6m2 (No. 187), with a = 4.8873 Å, b = 4.8873 Å, c = 3.5186 Å, α = 90.00°, β = 90.00° and γ = 120.00°. The inequivalent atoms are Pa at (0.0000, 0.0000, 0.0000), As at (0.6667, 0.3333, 0.5000) and Br at (0.3333, 0.6667, 0.0000).



Q: The highest raw formation energy belongs to which entry?
A: AsPWBr2



Repeat the sixth record exactly.
An optimized crystal structure of ZrAs2PBr, computed with PBE.

The value obtained for the raw formation energy is 0.48 eV/atom. Its total moment is 0.168 μB per atom. As for the volume: 29.02 A^3/atom. The distance to the lowest polymorph of the same formula comes out at 0.023 eV per atom.

It has space group P4/mmm (No. 123), with a = 5.296 Å, b = 5.296 Å, c = 5.173 Å, α = 90.00°, β = 90.00° and γ = 90.00°. The inequivalent atoms are Zr at (0.000, 0.000, 0.000), As at (0.000, 0.500, 0.000), P at (0.500, 0.500, 0.500) and Br at (0.000, 0.000, 0.500).



Repeat the seventh record exactly.
An optimized crystal structure of ZrAs2PBr, computed with PBE.

The value obtained for the raw formation energy is 0.45 eV/atom. Its total moment is 0.095 μB per atom. As for the volume: 21.92 A^3/atom. The distance to the lowest polymorph of the same formula comes out at 0.000 eV per atom.

It has space group P4/mmm (No. 123), with a = 4.783 Å, b = 4.783 Å, c = 4.792 Å, α = 90.00°, β = 90.00° and γ = 90.00°. The inequivalent atoms are Zr at (0.000, 0.000, 0.000), As at (0.000, 0.500, 0.500), P at (0.500, 0.500, 0.500) and Br at (0.500, 0.500, 0.000).